No. 1
! Ce2CdP | Alexandria via LeMat-Bulk | PBE | optimized geometry; values from VASP
&SYSTEM
  ibrav = 0, nat = 4, ntyp = 3
/
ATOMIC_SPECIES
Ce 140.12 Ce.upf
Cd 112.41 Cd.upf
P 30.97 P.upf
ATOMIC_POSITIONS angstrom
Ce 0.000 0.000 1.560
Ce 0.000 0.000 6.005
Cd 1.797 1.797 3.782
P 1.797 1.797 0.000
CELL_PARAMETERS angstrom
3.595 0.000 0.000
0.000 3.595 0.000
0.000 0.000 7.565
! - relative energy among the computed polymorphs (eV/f.u.) = 0.077
! - total magnetization (μB/f.u.) = 1.99
! - symmetry = P4/mmm

=====

No. 2
! SmAlHg2 | Alexandria via LeMat-Bulk | PBE | optimized geometry; values from VASP
&SYSTEM
  ibrav = 0, nat = 4, ntyp = 3
/
ATOMIC_SPECIES
Sm 150.36 Sm.upf
Al 26.98 Al.upf
Hg 200.59 Hg.upf
ATOMIC_POSITIONS angstrom
Sm 0.000 0.000 0.000
Al 2.265 2.265 0.000
Hg 0.000 2.265 2.296
Hg 2.265 0.000 2.296
CELL_PARAMETERS angstrom
4.530 0.000 0.000
0.000 4.530 0.000
0.000 0.000 4.592
! - VASP energy (eV per atom) = -2.5594
! - total magnetization (μB/f.u.) = 0.00
! - symmetry = P4/mmm

=====

No. 3
! CaReBr2 | Alexandria via LeMat-Bulk | PBE | optimized geometry; values from VASP
&SYSTEM
  ibrav = 0, nat = 4, ntyp = 3
/
ATOMIC_SPECIES
Ca 40.08 Ca.upf
Re 186.21 Re.upf
Br 79.90 Br.upf
ATOMIC_POSITIONS angstrom
Ca 0.000 0.000 0.000
Re 1.696 0.000 2.810
Br 0.906 2.112 4.062
Br 2.486 2.112 1.557
CELL_PARAMETERS angstrom
3.822 0.000 0.000
0.000 4.224 0.000
-0.431 0.000 5.619
! - formation energy from raw total energies (meV per atom) = 211
! - relative energy among the computed polymorphs (eV/f.u.) = 0.978
! - total magnetization (μB/f.u.) = 0.01
! - symmetry = P2/m

=====

No. 4
! LiErAg2 | Alexandria via LeMat-Bulk | PBE | optimized geometry; values from VASP
&SYSTEM
  ibrav = 0, nat = 4, ntyp = 3
/
ATOMIC_SPECIES
Li 6.94 Li.upf
Er 167.26 Er.upf
Ag 107.87 Ag.upf
ATOMIC_POSITIONS angstrom
Li 0.000 0.000 0.000
Er 2.468 2.468 0.000
Ag 0.000 2.468 1.716
Ag 2.468 0.000 1.716
CELL_PARAMETERS angstrom
4.936 0.000 0.000
0.000 4.936 0.000
0.000 0.000 3.433
! - relative energy among the computed polymorphs (eV/f.u.) = 0.235
! - total magnetization (μB/f.u.) = 0.00
! - symmetry = P4/mmm

=====

No. 5
! La4AlSnO | Alexandria via LeMat-Bulk | PBE | optimized geometry; values from VASP
&SYSTEM
  ibrav = 0, nat = 14, ntyp = 4
/
ATOMIC_SPECIES
La 138.91 La.upf
Al 26.98 Al.upf
Sn 118.71 Sn.upf
O 16.00 O.upf
ATOMIC_POSITIONS angstrom
La 1.713 4.394 0.000
La 1.713 4.394 3.423
La 3.426 7.707 5.134
La 3.426 1.388 5.134
La 1.713 -4.394 0.000
La 1.713 -4.394 3.423
La 3.426 -1.388 1.711
La 3.426 -7.707 1.711
Al 3.426 6.713 1.711
Al 3.426 -6.713 5.134
Sn 3.426 1.941 1.711
Sn 3.426 -1.941 5.134
O 3.426 3.963 5.134
O 3.426 -3.963 1.711
CELL_PARAMETERS angstrom
3.426 -8.787 0.000
3.426 8.787 0.000
0.000 0.000 6.845
! - formation energy from raw total energies (meV per atom) = -1139
! - total magnetization (μB/f.u.) = 0.31
! - symmetry = Cmcm

=====

No. 6
! BeAlHg2C | Alexandria via LeMat-Bulk | PBE | optimized geometry; values from VASP
&SYSTEM
  ibrav = 0, nat = 5, ntyp = 4
/
ATOMIC_SPECIES
Be 9.01 Be.upf
Al 26.98 Al.upf
Hg 200.59 Hg.upf
C 12.01 C.upf
ATOMIC_POSITIONS angstrom
Be 0.000 0.000 0.000
Al 0.000 0.000 2.233
Hg 0.000 2.352 0.000
Hg 2.352 0.000 0.000
C 2.352 2.352 2.233
CELL_PARAMETERS angstrom
4.703 0.000 0.000
0.000 4.703 0.000
0.000 0.000 4.466
! - VASP energy (eV per atom) = -1.9389
! - total magnetization (μB/f.u.) = 2.03
! - symmetry = P4/mmm

=====

No. 7
! Pm8C3Se4O | Alexandria via LeMat-Bulk | PBE | optimized geometry; values from VASP
&SYSTEM
  ibrav = 0, nat = 16, ntyp = 4
/
ATOMIC_SPECIES
Pm 145.00 Pm.upf
C 12.01 C.upf
Se 78.96 Se.upf
O 16.00 O.upf
ATOMIC_POSITIONS angstrom
Pm -1.966 -1.135 11.512
Pm 0.000 0.000 4.792
Pm 0.000 -2.271 8.731
Pm -1.966 1.135 8.731
Pm 1.966 -1.135 11.512
Pm 0.000 2.271 11.512
Pm 0.000 0.000 15.451
Pm 1.966 1.135 8.731
C -3.870 0.000 10.121
C -1.935 1.117 3.374
C 1.935 1.117 3.374
Se 0.000 0.000 0.000
Se -1.935 -1.117 6.748
Se -1.935 1.117 13.495
Se 0.000 2.234 6.748
O 0.000 0.000 10.121
CELL_PARAMETERS angstrom
3.870 2.234 6.748
-3.870 2.234 6.748
0.000 -4.468 6.748
! - formation energy from raw total energies (meV per atom) = -1381
! - total magnetization (μB/f.u.) = 0.00
! - symmetry = R-3m

=====

No. 8
! Sm6ThTl | Alexandria via LeMat-Bulk | PBE | optimized geometry; values from VASP
&SYSTEM
  ibrav = 0, nat = 8, ntyp = 3
/
ATOMIC_SPECIES
Sm 150.36 Sm.upf
Th 232.04 Th.upf
Tl 204.38 Tl.upf
ATOMIC_POSITIONS angstrom
Sm 0.000 0.000 0.000
Sm 0.000 0.000 5.082
Sm 0.000 2.499 2.523
Sm 0.000 2.499 7.641
Sm 2.499 0.000 2.523
Sm 2.499 0.000 7.641
Th 2.499 2.499 5.082
Tl 2.499 2.499 0.000
CELL_PARAMETERS angstrom
4.998 0.000 0.000
0.000 4.998 0.000
0.000 0.000 10.164
! - VASP energy (eV per atom) = -4.8225
! - total magnetization (μB/f.u.) = 0.00
! - symmetry = P4/mmm